1.
Density functional theory data (PBE) for a relaxed structure of Cs2In2AgSe4.

Values from the calculation:
For the total energy, the calculation gives -59.818 eV/cell. Its magnetization is 0.0 μB/f.u. The calculation puts the raw formation energy at -0.66 eV/atom.

Lattice parameters (Å, degrees): 14.492 5.234 7.855 90.00 104.16 90.00
Space group C2/m (No. 12)
Asymmetric unit:
Cs 0.136 0.000 0.085 (multiplicity 4)
In 0.138 0.500 0.529 (multiplicity 4)
Ag 0.000 0.000 0.500 (multiplicity 2)
Se 0.010 0.500 0.752 (multiplicity 4)
Se 0.192 0.000 0.638 (multiplicity 4)

***

2.
Density functional theory data (PBE) for a relaxed structure of Cs2In3AgSn4.

Values from the calculation:
The formation enthalpy at 0 K comes out at -0.126 eV per atom. For the total energy, the calculation gives -30.045 eV/cell. Its magnetization is 0.0 μB/f.u.

Lattice parameters (Å, degrees): 5.168 5.168 12.278 90.00 90.00 90.00
Space group P-4m2 (No. 115)
Asymmetric unit:
Cs 0.000 0.500 0.245 (multiplicity 2)
In 0.000 0.000 0.000 (multiplicity 1)
In 0.000 0.500 0.635 (multiplicity 2)
Ag 0.500 0.500 0.000 (multiplicity 1)
Sn 0.000 0.000 0.500 (multiplicity 1)
Sn 0.000 0.500 0.878 (multiplicity 2)
Sn 0.500 0.500 0.500 (multiplicity 1)

***

3.
Density functional theory data (PBE) for a relaxed structure of CsInAgTe2.

Values from the calculation:
For the total energy, the calculation gives -59.928 eV/cell. Its magnetization is 0.0 μB/f.u. The calculation puts the raw formation energy at -0.45 eV/atom.

Lattice parameters (Å, degrees): 7.276 15.456 7.061 90.00 90.00 90.00
Space group Cmme (No. 67)
Asymmetric unit:
Cs 0.000 0.250 0.237 (multiplicity 4)
In 0.250 0.000 0.500 (multiplicity 4)
Ag 0.000 0.000 0.000 (multiplicity 4)
Te 0.000 0.121 0.731 (multiplicity 8)

***

4.
Density functional theory data (PBE) for a relaxed structure of Cs2In2AgTe4.

Values from the calculation:
For the total energy, the calculation gives -54.484 eV/cell. Its magnetization is 0.0 μB/f.u. The calculation puts the raw formation energy at -0.52 eV/atom.

Lattice parameters (Å, degrees): 16.994 4.987 8.696 90.00 106.35 90.00
Space group C2/m (No. 12)
Asymmetric unit:
Cs 0.124 0.000 0.057 (multiplicity 4)
In 0.160 0.500 0.494 (multiplicity 4)
Ag 0.000 0.000 0.500 (multiplicity 2)
Te 0.005 0.500 0.271 (multiplicity 4)
Te 0.204 0.000 0.672 (multiplicity 4)

***

5.
Density functional theory data (PBE) for a relaxed structure of Cs2Tl6InAg.

Values from the calculation:
The formation enthalpy at 0 K comes out at 0.029 eV per atom. For the total energy, the calculation gives -127.231 eV/cell. Its magnetization is 0.0 μB/f.u.

Lattice parameters (Å, degrees): 8.3281 8.3281 40.0552 90.00 90.00 120.00
Space group R-3m (No. 166, hexagonal axes)
Asymmetric unit:
Cs 0.0000 0.0000 0.1479 (multiplicity 6)
Cs 0.0000 0.0000 0.2929 (multiplicity 6)
Tl 0.0337 0.5168 0.1148 (multiplicity 18)
Tl 0.0748 0.5374 0.7264 (multiplicity 18)
In 0.0000 0.0000 0.3853 (multiplicity 6)
Ag 0.0000 0.0000 0.0000 (multiplicity 3)
Ag 0.0000 0.0000 0.5000 (multiplicity 3)

***

6.
Density functional theory data (PBE) for a relaxed structure of CsTlIn2Ag.

Values from the calculation:
Its energy above the most stable polymorph in this dataset is 0.43 eV per formula unit. The formation enthalpy at 0 K comes out at 0.200 eV per atom. For the total energy, the calculation gives -10.547 eV/cell. Its magnetization is 0.0 μB/f.u.

Lattice parameters (Å, degrees): 5.440 5.440 6.499 90.00 90.00 90.00
Space group P4/mmm (No. 123)
Asymmetric unit:
Cs 0.000 0.000 0.000 (multiplicity 1)
Tl 0.500 0.500 0.000 (multiplicity 1)
In 0.000 0.500 0.500 (multiplicity 2)
Ag 0.000 0.000 0.500 (multiplicity 1)

***

7.
Density functional theory data (PBE) for a relaxed structure of CsTlIn2Ag.

Values from the calculation:
Its energy above the most stable polymorph in this dataset is 0.00 eV per formula unit. The formation enthalpy at 0 K comes out at 0.115 eV per atom. For the total energy, the calculation gives -10.973 eV/cell. Its magnetization is 0.0 μB/f.u.

Lattice parameters (Å, degrees): 5.574 5.574 5.846 90.00 90.00 90.00
Space group P4/mmm (No. 123)
Asymmetric unit:
Cs 0.000 0.000 0.000 (multiplicity 1)
Tl 0.500 0.500 0.000 (multiplicity 1)
In 0.000 0.500 0.500 (multiplicity 2)
Ag 0.500 0.500 0.500 (multiplicity 1)

***

8.
Density functional theory data (PBE) for a relaxed structure of CsTl2InAg.

Values from the calculation:
The formation enthalpy at 0 K comes out at 0.111 eV per atom. For the total energy, the calculation gives -10.621 eV/cell. Its magnetization is 0.0 μB/f.u.

Lattice parameters (Å, degrees): 5.771 5.771 5.577 90.00 90.00 90.00
Space group P4/mmm (No. 123)
Asymmetric unit:
Cs 0.000 0.000 0.000 (multiplicity 1)
Tl 0.000 0.500 0.500 (multiplicity 2)
In 0.500 0.500 0.000 (multiplicity 1)
Ag 0.500 0.500 0.500 (multiplicity 1)

***

9.
Density functional theory data (PBE) for a relaxed structure of CsAg3Ir.

Values from the calculation:
The formation enthalpy at 0 K comes out at 0.673 eV per atom. For the total energy, the calculation gives -14.903 eV/cell. Its magnetization is 0.6 μB/f.u.

Lattice parameters (Å, degrees): 5.273 5.273 5.273 90.00 90.00 90.00
Space group Pm-3m (No. 221)
Asymmetric unit:
Cs 0.000 0.000 0.000 (multiplicity 1)
Ag 0.000 0.500 0.500 (multiplicity 3)
Ir 0.500 0.500 0.500 (multiplicity 1)

***

10.
Density functional theory data (PBE) for a relaxed structure of Cs2AgIr.

Values from the calculation:
Its energy above the most stable polymorph in this dataset is 0.91 eV per formula unit. The formation enthalpy at 0 K comes out at 1.273 eV per atom. For the total energy, the calculation gives -33.305 eV/cell. Its magnetization is 0.0 μB/f.u.

Lattice parameters (Å, degrees): 8.225 8.225 14.259 90.00 90.00 90.00
Space group I-42d (No. 122)
Asymmetric unit:
Cs 0.081 0.250 0.125 (multiplicity 8)
Ag 0.000 0.000 0.500 (multiplicity 4)
Ir 0.000 0.000 0.000 (multiplicity 4)

***

11.
Density functional theory data (PBE) for a relaxed structure of Cs2AgIr.

Values from the calculation:
Its energy above the most stable polymorph in this dataset is 0.00 eV per formula unit. The formation enthalpy at 0 K comes out at 1.047 eV per atom. For the total energy, the calculation gives -36.925 eV/cell. Its magnetization is 1.3 μB/f.u.

Lattice parameters (Å, degrees): 8.270 8.270 8.270 90.00 90.00 90.00
Space group Fm-3m (No. 225)
Asymmetric unit:
Cs 0.250 0.250 0.250 (multiplicity 8)
Ag 0.000 0.000 0.000 (multiplicity 4)
Ir 0.000 0.000 0.500 (multiplicity 4)

***

12.
Density functional theory data (PBE) for a relaxed structure of CsAgIr2.

Values from the calculation:
The formation enthalpy at 0 K comes out at 1.666 eV per atom. For the total energy, the calculation gives -59.053 eV/cell. Its magnetization is 1.6 μB/f.u.

Lattice parameters (Å, degrees): 6.857 6.857 6.857 90.00 90.00 90.00
Space group Fm-3m (No. 225)
Asymmetric unit:
Cs 0.000 0.000 0.000 (multiplicity 4)
Ag 0.000 0.000 0.500 (multiplicity 4)
Ir 0.250 0.250 0.250 (multiplicity 8)